Computed, not measured: a relaxed structure of LiPu3Rh6 at the PBE level of DFT.

Cell: 7.915 4.613 10.202 Å, 90.00 112.68 90.00°
Space group P2_1/m (No. 11)
Symmetry-distinct sites (fractional):
Li  0.045  0.250  0.436 (multiplicity 2)
Pu  0.207  0.250  0.016 (multiplicity 2)
Pu  0.346  0.750  0.775 (multiplicity 2)
Pu  0.458  0.250  0.614 (multiplicity 2)
Rh  0.049  0.750  0.850 (multiplicity 2)
Rh  0.126  0.250  0.713 (multiplicity 2)
Rh  0.169  0.750  0.177 (multiplicity 2)
Rh  0.240  0.750  0.477 (multiplicity 2)
Rh  0.312  0.250  0.330 (multiplicity 2)
Rh  0.460  0.750  0.077 (multiplicity 2)

Computed properties:
Density of states at the Fermi level: 29.05 states/eV/f.u.
E: -9.226 eV/atom
Calculated formation energy: -0.3245 eV per atom
Total magnetic moment: 4.212 μB/f.u.

=====

Computed, not measured: a relaxed structure of LiPu2Rh4 at the PBE level of DFT.

Cell: 3.945 3.945 17.697 Å, 90.00 90.00 90.00°
Space group I4/mmm (No. 139)
Symmetry-distinct sites (fractional):
Li  0.000  0.000  0.000 (multiplicity 2)
Pu  0.000  0.000  0.379 (multiplicity 4)
Rh  0.000  0.000  0.143 (multiplicity 4)
Rh  0.000  0.500  0.250 (multiplicity 4)

Computed properties:
Density of states at the Fermi level: 20.49 states/eV/f.u.
E: -8.772 eV/atom
Calculated formation energy: -0.2034 eV per atom
Total magnetic moment: 8.440 μB/f.u.

=====

Computed, not measured: a relaxed structure of Li3Pu2Rh4 at the PBE level of DFT.

Cell: 5.524 13.326 7.996 Å, 90.00 90.00 90.00°
Space group Cmce (No. 64)
Symmetry-distinct sites (fractional):
Li  0.000  0.000  0.000 (multiplicity 4)
Li  0.250  0.197  0.250 (multiplicity 8)
Pu  0.000  0.126  0.576 (multiplicity 8)
Rh  0.000  0.188  0.966 (multiplicity 8)
Rh  0.250  0.010  0.250 (multiplicity 8)

Computed properties:
Density of states at the Fermi level: 16.87 states/eV/f.u.
E: -7.313 eV/atom
Calculated formation energy: -0.2227 eV per atom
ΔE to the lowest computed polymorph: 1.58 eV/f.u.
Total magnetic moment: 8.651 μB/f.u.

=====

Computed, not measured: a relaxed structure of Li2Pu3Rh3 at the PBE level of DFT.

Cell: 8.1136 8.1136 5.4170 Å, 90.00 90.00 120.00°
Space group P6_3/mcm (No. 193)
Symmetry-distinct sites (fractional):
Li  0.3333  0.6667  0.0000 (multiplicity 4)
Pu  0.0000  0.2686  0.2500 (multiplicity 6)
Rh  0.0000  0.3906  0.7500 (multiplicity 6)

Computed properties:
Density of states at the Fermi level: 21.38 states/eV/f.u.
E: -8.934 eV/atom
Calculated formation energy: -0.3239 eV per atom
Total magnetic moment: 15.936 μB/f.u.

=====

> Which formula does entry 1 have?

LiPu3Rh6